one:
VASP calculation (PBE-GGA) on a geometry-optimized LaNdDy4 structure.

Unit cell a=5.083 b=6.235 c=7.217 alpha=106.85 beta=90.07 gamma=114.00
Fractional positions:
La 0.000 0.000 0.000
Nd 0.000 0.000 0.500
Dy 0.331 0.662 0.665
Dy 0.332 0.665 0.167
Dy 0.668 0.335 0.833
Dy 0.669 0.338 0.335

Computed properties:
Total moment   0.0 μB/cell

=====

two:
VASP calculation (PBE-GGA) on a geometry-optimized LaNdDy4 structure.

Unit cell a=6.673 b=6.673 c=6.673 alpha=60.00 beta=60.00 gamma=60.00
Fractional positions:
La 0.000 0.000 0.000
Nd 0.750 0.750 0.750
Dy 0.376 0.376 0.376
Dy 0.376 0.376 0.873
Dy 0.376 0.873 0.376
Dy 0.873 0.376 0.376

Computed properties:
Total moment   2.2 μB/cell

=====

The winner here is one, beating the second structure by 0.253 eV/atom.

=====

one:
VASP calculation (PBE-GGA) on a geometry-optimized La7Nd4Dy structure.

Unit cell a=6.468 b=7.458 c=9.233 alpha=89.88 beta=76.47 gamma=89.97
Fractional positions:
La 0.000 0.000 0.000
La 0.221 0.499 0.332
La 0.279 0.750 0.669
La 0.500 0.253 0.000
La 0.500 0.747 0.000
La 0.721 0.250 0.331
La 0.779 0.501 0.668
Nd 0.225 0.000 0.332
Nd 0.275 0.250 0.672
Nd 0.725 0.750 0.328
Nd 0.775 0.000 0.668
Dy 0.000 0.500 0.000

Computed properties:
Total moment   0.0 μB/cell

=====

two:
VASP calculation (PBE-GGA) on a geometry-optimized La7Nd4Dy structure.

Unit cell a=8.909 b=8.909 c=9.515 alpha=114.71 beta=114.71 gamma=40.50
Fractional positions:
La 0.000 0.000 0.000
La 0.293 0.293 0.784
La 0.294 0.294 0.127
La 0.419 0.419 0.569
La 0.581 0.581 0.431
La 0.706 0.706 0.873
La 0.707 0.707 0.216
Nd 0.074 0.074 0.701
Nd 0.172 0.172 0.395
Nd 0.828 0.828 0.605
Nd 0.926 0.926 0.299
Dy 0.500 0.500 0.000

Computed properties:
Total moment   0.4 μB/cell

=====

The winner here is one, beating the second structure by 0.180 eV/atom.

=====

one:
VASP calculation (PBE-GGA) on a geometry-optimized La2Nd2Dy7 structure.

Unit cell a=8.173 b=8.173 c=6.121 alpha=106.31 beta=106.31 gamma=91.42
Fractional positions:
La 0.211 0.789 0.000
La 0.789 0.211 0.000
Nd 0.403 0.403 0.687
Nd 0.597 0.597 0.313
Dy 0.000 0.000 0.500
Dy 0.065 0.590 0.329
Dy 0.237 0.237 0.078
Dy 0.410 0.935 0.671
Dy 0.590 0.065 0.329
Dy 0.763 0.763 0.922
Dy 0.935 0.410 0.671

Computed properties:
Total moment   0.0 μB/cell

=====

two:
VASP calculation (PBE-GGA) on a geometry-optimized La2Nd2Dy7 structure.

Unit cell a=6.953 b=6.953 c=9.443 alpha=90.00 beta=90.00 gamma=123.57
Fractional positions:
La 0.249 0.249 0.000
La 0.751 0.751 0.000
Nd 0.228 0.772 0.500
Nd 0.772 0.228 0.500
Dy 0.000 0.000 0.319
Dy 0.000 0.000 0.681
Dy 0.000 0.500 0.181
Dy 0.000 0.500 0.819
Dy 0.500 0.000 0.181
Dy 0.500 0.000 0.819
Dy 0.500 0.500 0.500

Computed properties:
Total moment   0.3 μB/cell

=====

The winner here is one, beating the second structure by 0.191 eV/atom.

=====

one:
VASP calculation (PBE-GGA) on a geometry-optimized La2Nd3Dy structure.

Unit cell a=9.407 b=9.407 c=7.128 alpha=100.92 beta=100.92 gamma=43.82
Fractional positions:
La 0.165 0.182 0.088
La 0.182 0.165 0.588
La 0.818 0.835 0.412
La 0.835 0.818 0.912
Nd 0.235 0.765 0.250
Nd 0.353 0.366 0.432
Nd 0.366 0.353 0.932
Nd 0.634 0.647 0.068
Nd 0.647 0.634 0.568
Nd 0.765 0.235 0.750
Dy 0.239 0.761 0.750
Dy 0.761 0.239 0.250

Computed properties:
Total moment   0.0 μB/cell

=====

two:
VASP calculation (PBE-GGA) on a geometry-optimized La2Nd3Dy structure.

Unit cell a=6.820 b=18.212 c=3.468 alpha=90.00 beta=90.00 gamma=90.00
Fractional positions:
La 0.234 0.182 0.000
La 0.266 0.682 0.500
La 0.734 0.318 0.500
La 0.766 0.818 0.000
Nd 0.000 0.500 0.000
Nd 0.229 0.352 0.500
Nd 0.271 0.852 0.000
Nd 0.500 0.000 0.500
Nd 0.729 0.148 0.000
Nd 0.771 0.648 0.500
Dy 0.000 0.000 0.000
Dy 0.500 0.500 0.500

Computed properties:
Total moment   0.0 μB/cell

=====

The winner here is one, beating the second structure by 0.106 eV/atom.

=====

one:
VASP calculation (PBE-GGA) on a geometry-optimized La3Nd2Dy8 structure.

Unit cell a=10.991 b=10.991 c=5.672 alpha=90.08 beta=90.08 gamma=41.22
Fractional positions:
La 0.000 0.000 0.000
La 0.299 0.701 0.500
La 0.701 0.299 0.500
Nd 0.242 0.242 0.998
Nd 0.758 0.758 0.002
Dy 0.134 0.134 0.499
Dy 0.183 0.601 0.000
Dy 0.332 0.332 0.498
Dy 0.399 0.817 0.000
Dy 0.601 0.183 0.000
Dy 0.668 0.668 0.502
Dy 0.817 0.399 0.000
Dy 0.866 0.866 0.501

Computed properties:
Total moment   0.0 μB/cell

=====

two:
VASP calculation (PBE-GGA) on a geometry-optimized La3Nd2Dy8 structure.

Unit cell a=6.249 b=8.070 c=9.558 alpha=114.87 beta=90.10 gamma=97.47
Fractional positions:
La 0.000 0.000 0.000
La 0.461 0.768 0.846
La 0.539 0.232 0.154
Nd 0.383 0.306 0.539
Nd 0.617 0.694 0.461
Dy 0.078 0.467 0.309
Dy 0.152 0.924 0.613
Dy 0.228 0.385 0.923
Dy 0.309 0.844 0.233
Dy 0.691 0.156 0.767
Dy 0.772 0.615 0.077
Dy 0.848 0.076 0.387
Dy 0.922 0.533 0.691

Computed properties:
Total moment   0.0 μB/cell

=====

The winner here is two, beating the second structure by 0.229 eV/atom.

=====

one:
VASP calculation (PBE-GGA) on a geometry-optimized La6Nd12Dy structure.

Unit cell a=10.079 b=10.079 c=10.079 alpha=112.25 beta=112.25 gamma=112.25
Fractional positions:
La 0.021 0.766 0.766
La 0.234 0.234 0.979
La 0.234 0.979 0.234
La 0.766 0.021 0.766
La 0.766 0.766 0.021
La 0.979 0.234 0.234
Nd 0.000 0.378 0.622
Nd 0.000 0.622 0.378
Nd 0.231 0.231 0.592
Nd 0.231 0.592 0.231
Nd 0.378 0.000 0.622
Nd 0.378 0.622 0.000
Nd 0.408 0.769 0.769
Nd 0.592 0.231 0.231
Nd 0.622 0.000 0.378
Nd 0.622 0.378 0.000
Nd 0.769 0.408 0.769
Nd 0.769 0.769 0.408
Dy 0.500 0.500 0.500

Computed properties:
Total moment   0.0 μB/cell

=====

two:
VASP calculation (PBE-GGA) on a geometry-optimized La6Nd12Dy structure.

Unit cell a=8.811 b=8.811 c=8.811 alpha=89.68 beta=89.68 gamma=89.68
Fractional positions:
La 0.199 0.765 0.594
La 0.235 0.406 0.801
La 0.406 0.801 0.235
La 0.594 0.199 0.765
La 0.765 0.594 0.199
La 0.801 0.235 0.406
Nd 0.033 0.937 0.281
Nd 0.063 0.719 0.967
Nd 0.138 0.479 0.315
Nd 0.281 0.033 0.937
Nd 0.315 0.138 0.479
Nd 0.479 0.315 0.138
Nd 0.521 0.685 0.862
Nd 0.685 0.862 0.521
Nd 0.719 0.967 0.063
Nd 0.862 0.521 0.685
Nd 0.937 0.281 0.033
Nd 0.967 0.063 0.719
Dy 0.500 0.500 0.500

Computed properties:
Total moment   0.0 μB/cell

=====

The winner here is two, beating the second structure by 0.159 eV/atom.

=====

one:
VASP calculation (PBE-GGA) on a geometry-optimized LaNd12Dy7 structure.

Unit cell a=10.073 b=10.073 c=10.073 alpha=109.47 beta=109.47 gamma=109.47
Fractional positions:
La 0.000 0.000 0.000
Nd 0.004 0.746 0.258
Nd 0.254 0.258 0.512
Nd 0.254 0.742 0.996
Nd 0.258 0.004 0.746
Nd 0.258 0.512 0.254
Nd 0.488 0.746 0.742
Nd 0.512 0.254 0.258
Nd 0.742 0.488 0.746
Nd 0.742 0.996 0.254
Nd 0.746 0.258 0.004
Nd 0.746 0.742 0.488
Nd 0.996 0.254 0.742
Dy 0.000 0.000 0.500
Dy 0.000 0.500 0.000
Dy 0.000 0.500 0.500
Dy 0.500 0.000 0.000
Dy 0.500 0.000 0.500
Dy 0.500 0.500 0.000
Dy 0.500 0.500 0.500

Computed properties:
Total moment   0.0 μB/cell

=====

two:
VASP calculation (PBE-GGA) on a geometry-optimized LaNd12Dy7 structure.

Unit cell a=9.475 b=9.475 c=9.475 alpha=107.87 beta=107.87 gamma=107.87
Fractional positions:
La 0.000 0.000 0.000
Nd 0.051 0.408 0.296
Nd 0.222 0.376 0.669
Nd 0.296 0.051 0.408
Nd 0.331 0.778 0.624
Nd 0.376 0.669 0.222
Nd 0.408 0.296 0.051
Nd 0.592 0.704 0.949
Nd 0.624 0.331 0.778
Nd 0.669 0.222 0.376
Nd 0.704 0.949 0.592
Nd 0.778 0.624 0.331
Nd 0.949 0.592 0.704
Dy 0.008 0.321 0.894
Dy 0.106 0.992 0.679
Dy 0.321 0.894 0.008
Dy 0.500 0.500 0.500
Dy 0.679 0.106 0.992
Dy 0.894 0.008 0.321
Dy 0.992 0.679 0.106

Computed properties:
Total moment   0.0 μB/cell

=====

The winner here is two, beating the second structure by 0.505 eV/atom.

=====

one:
VASP calculation (PBE-GGA) on a geometry-optimized La4Nd3Dy4 structure.

Unit cell a=10.881 b=6.727 c=6.727 alpha=51.31 beta=90.00 gamma=90.00
Fractional positions:
La 0.000 0.000 0.000
La 0.208 0.802 0.802
La 0.500 0.920 0.920
La 0.792 0.802 0.802
Nd 0.000 0.293 0.293
Nd 0.291 0.454 0.454
Nd 0.709 0.454 0.454
Dy 0.000 0.596 0.596
Dy 0.307 0.149 0.149
Dy 0.500 0.647 0.647
Dy 0.693 0.149 0.149

Computed properties:
Total moment   0.0 μB/cell

=====

two:
VASP calculation (PBE-GGA) on a geometry-optimized La4Nd3Dy4 structure.

Unit cell a=12.384 b=12.384 c=12.384 alpha=163.13 beta=134.59 gamma=48.78
Fractional positions:
La 0.024 0.854 0.170
La 0.316 0.146 0.170
La 0.684 0.854 0.830
La 0.976 0.146 0.830
Nd 0.000 0.500 0.500
Nd 0.394 0.394 0.000
Nd 0.606 0.606 0.000
Dy 0.263 0.763 0.500
Dy 0.317 0.000 0.317
Dy 0.683 0.000 0.683
Dy 0.737 0.237 0.500

Computed properties:
Total moment   0.0 μB/cell

=====

The winner here is two, beating the second structure by 0.022 eV/atom.

=====

one:
VASP calculation (PBE-GGA) on a geometry-optimized LaNd7Dy4 structure.

Unit cell a=6.809 b=6.809 c=12.834 alpha=114.71 beta=114.71 gamma=53.00
Fractional positions:
La 0.000 0.000 0.000
Nd 0.058 0.058 0.332
Nd 0.209 0.209 0.919
Nd 0.369 0.369 0.497
Nd 0.500 0.500 0.000
Nd 0.631 0.631 0.503
Nd 0.791 0.791 0.081
Nd 0.942 0.942 0.668
Dy 0.254 0.254 0.685
Dy 0.366 0.366 0.225
Dy 0.634 0.634 0.775
Dy 0.746 0.746 0.315

Computed properties:
Total moment   0.0 μB/cell

=====

two:
VASP calculation (PBE-GGA) on a geometry-optimized LaNd7Dy4 structure.

Unit cell a=6.360 b=7.346 c=9.047 alpha=89.99 beta=76.45 gamma=90.00
Fractional positions:
La 0.000 0.000 0.000
Nd 0.000 0.500 0.000
Nd 0.223 0.000 0.335
Nd 0.280 0.252 0.664
Nd 0.500 0.254 0.002
Nd 0.500 0.746 0.998
Nd 0.720 0.748 0.336
Nd 0.777 0.000 0.665
Dy 0.219 0.500 0.335
Dy 0.278 0.745 0.665
Dy 0.722 0.255 0.335
Dy 0.781 0.500 0.665

Computed properties:
Total moment   0.0 μB/cell

=====

The winner here is two, beating the second structure by 0.231 eV/atom.

=====

one:
VASP calculation (PBE-GGA) on a geometry-optimized LaNd2Dy9 structure.

Unit cell a=5.068 b=5.068 c=15.214 alpha=90.00 beta=90.00 gamma=90.00
Fractional positions:
La 0.000 0.000 0.000
Nd 0.000 0.000 0.333
Nd 0.000 0.000 0.667
Dy 0.000 0.500 0.168
Dy 0.000 0.500 0.500
Dy 0.000 0.500 0.832
Dy 0.500 0.000 0.168
Dy 0.500 0.000 0.500
Dy 0.500 0.000 0.832
Dy 0.500 0.500 0.000
Dy 0.500 0.500 0.334
Dy 0.500 0.500 0.666

Computed properties:
Total moment   0.0 μB/cell

=====

two:
VASP calculation (PBE-GGA) on a geometry-optimized LaNd2Dy9 structure.

Unit cell a=11.357 b=11.357 c=3.532 alpha=90.00 beta=90.00 gamma=120.00
Fractional positions:
La 0.000 0.000 0.000
Nd 0.333 0.667 0.000
Nd 0.667 0.333 0.000
Dy 0.000 0.500 0.000
Dy 0.176 0.353 0.500
Dy 0.176 0.824 0.500
Dy 0.353 0.176 0.500
Dy 0.500 0.000 0.000
Dy 0.500 0.500 0.000
Dy 0.647 0.824 0.500
Dy 0.824 0.176 0.500
Dy 0.824 0.647 0.500

Computed properties:
Total moment   0.0 μB/cell

=====

The winner here is one, beating the second structure by 0.030 eV/atom.